(1)
LaMg2Ag2Sn2, optimized geometry, DFT PBE; E_form = -0.406 eV/atom; symmetry = R-3m (166)
1.0
2.351 1.357 8.585
-2.351 1.357 8.585
0.000 -2.714 8.585
La Mg Ag Sn
1 2 2 2
direct
0.000 0.000 0.000
0.139 0.139 0.139
0.861 0.861 0.861
0.441 0.441 0.441
0.559 0.559 0.559
0.260 0.260 0.260
0.740 0.740 0.740

=====

(2)
YTcPt2, optimized geometry, DFT PBE; polymorph energy (0 for the lowest one) = 225 meV per atom; E_form = -0.221 eV/atom; symmetry = F-43m (216)
1.0
0.000 3.295 3.295
3.295 0.000 3.295
3.295 3.295 0.000
Y Tc Pt
1 1 2
direct
0.000 0.000 0.000
0.250 0.250 0.250
0.500 0.500 0.500
0.750 0.750 0.750

=====

(3)
ZrU2Mn2, optimized geometry, DFT PBE; E_form = 0.316 eV/atom; symmetry = Fddd (70)
1.0
0.000 5.092 9.598
1.949 0.000 9.598
1.949 5.092 0.000
Zr U Mn
2 4 4
direct
0.125 0.125 0.125
0.875 0.875 0.875
0.236 0.236 0.514
0.486 0.486 0.764
0.514 0.514 0.236
0.764 0.764 0.486
0.186 0.564 0.186
0.436 0.814 0.436
0.564 0.186 0.564
0.814 0.436 0.814

=====

(4)
Tb6TlCo, optimized geometry, DFT PBE; E_form = -0.013 eV/atom; symmetry = C2/m (12)
1.0
3.949 -5.018 0.000
3.949 5.018 0.000
-1.587 0.000 6.057
Tb Tl Co
6 1 1
direct
0.069 0.699 0.716
0.280 0.280 0.869
0.301 0.931 0.284
0.699 0.069 0.716
0.720 0.720 0.131
0.931 0.301 0.284
0.500 0.500 0.500
0.000 0.000 0.000

=====

(5)
MnAuSe2, optimized geometry, DFT PBE; symmetry = Pna2_1 (33); ΔE_f (raw) = 36.0 meV per atom
1.0
7.130 0.000 0.000
0.000 7.378 0.000
0.000 0.000 6.480
Mn Au Se
4 4 8
direct
0.033 0.127 0.000
0.467 0.627 0.500
0.533 0.373 0.000
0.967 0.873 0.500
0.158 0.502 0.007
0.342 0.002 0.507
0.658 0.998 0.007
0.842 0.498 0.507
0.039 0.149 0.649
0.159 0.643 0.611
0.341 0.143 0.111
0.461 0.649 0.149
0.539 0.351 0.649
0.659 0.857 0.611
0.841 0.357 0.111
0.961 0.851 0.149

=====

(6)
HfMg2Sc, optimized geometry, DFT PBE; polymorph energy (0 for the lowest one) = 149 meV per atom; E_form = 0.106 eV/atom; symmetry = Fm-3m (225)
1.0
0.000 3.533 3.533
3.533 0.000 3.533
3.533 3.533 0.000
Hf Mg Sc
1 2 1
direct
0.000 0.000 0.000
0.250 0.250 0.250
0.750 0.750 0.750
0.500 0.500 0.500